No. 1
Ba4Pa3SiN8: optimized geometry, GGA-PBE.

Results
N(E_F): 3.125 states/eV per cell
Magnetic moment: 0.00 μB per cell
Energy relative to the elements, uncorrected: -907 meV/atom

abc: 7.6045 7.6045 7.6045
angles: 57.48 57.48 57.48
Sites, in units of the cell vectors:
Ba1 0.0000 0.0000 0.0000
Ba2 0.0000 0.5000 0.5000
Ba3 0.5000 0.0000 0.5000
Ba4 0.5000 0.5000 0.0000
Pa1 0.0000 0.0000 0.5000
Pa2 0.0000 0.5000 0.0000
Pa3 0.5000 0.0000 0.0000
Si1 0.5000 0.5000 0.5000
N1 0.1970 0.7409 0.7409
N2 0.2283 0.2283 0.2283
N3 0.2591 0.2591 0.8030
N4 0.2591 0.8030 0.2591
N5 0.7409 0.1970 0.7409
N6 0.7409 0.7409 0.1970
N7 0.7717 0.7717 0.7717
N8 0.8030 0.2591 0.2591

---

No. 2
BaPa4Si3N12: optimized geometry, GGA-PBE.

Results
N(E_F): 12.964 states/eV per cell
Magnetic moment: 0.01 μB per cell
Energy relative to the elements, uncorrected: -851 meV/atom

abc: 7.0550 7.0550 7.0550
angles: 109.47 109.47 109.47
Sites, in units of the cell vectors:
Ba1 0.0000 0.0000 0.0000
Pa1 0.0000 0.0000 0.5000
Pa2 0.0000 0.5000 0.0000
Pa3 0.5000 0.0000 0.0000
Pa4 0.5000 0.5000 0.5000
Si1 0.0000 0.5000 0.5000
Si2 0.5000 0.0000 0.5000
Si3 0.5000 0.5000 0.0000
N1 0.1527 0.3362 0.4889
N2 0.1527 0.6638 0.8165
N3 0.1835 0.8473 0.3362
N4 0.3362 0.1835 0.8473
N5 0.3362 0.4889 0.1527
N6 0.4889 0.1527 0.3362
N7 0.5111 0.8473 0.6638
N8 0.6638 0.5111 0.8473
N9 0.6638 0.8165 0.1527
N10 0.8165 0.1527 0.6638
N11 0.8473 0.3362 0.1835
N12 0.8473 0.6638 0.5111

---

No. 3
Ba3Pa3SiN8: optimized geometry, GGA-PBE.

Results
N(E_F): 3.026 states/eV per cell
Magnetic moment: 0.00 μB per cell
Energy relative to the elements, uncorrected: -964 meV/atom

abc: 6.9354 6.9354 7.6073
angles: 116.96 116.96 64.39
Sites, in units of the cell vectors:
Ba1 0.0000 0.0000 0.0000
Ba2 0.0000 0.5000 0.0000
Ba3 0.5000 0.0000 0.0000
Pa1 0.0000 0.5000 0.5000
Pa2 0.5000 0.0000 0.5000
Pa3 0.5000 0.5000 0.5000
Si1 0.0000 0.0000 0.5000
N1 0.1745 0.1745 0.6519
N2 0.2382 0.6924 0.6813
N3 0.2721 0.2721 0.3213
N4 0.3076 0.7618 0.3187
N5 0.6924 0.2382 0.6813
N6 0.7279 0.7279 0.6787
N7 0.7618 0.3076 0.3187
N8 0.8255 0.8255 0.3481